# 1
A plane-wave DFT calculation with SCAN was carried out for Y4MgIr at its PBEsol-relaxed geometry. Values from VASP.

Geometry as Quantum ESPRESSO input:
```
&SYSTEM
  ibrav = 0, nat = 24, ntyp = 3
/
ATOMIC_SPECIES
Y 88.91 Y.upf
Ir 192.22 Ir.upf
Mg 24.30 Mg.upf
ATOMIC_POSITIONS angstrom
Y 7.7594 4.4799 3.1678
Y 12.6093 9.3638 4.4110
Y 9.6093 2.0831 1.4730
Y 12.6099 7.2803 1.4730
Y 16.2185 7.2800 7.3579
Y 9.6093 9.0128 6.3730
Y 6.6086 7.2803 1.4730
Y 6.6086 3.8155 6.3730
Y 12.6099 3.8155 6.3730
Y 14.4139 6.2381 4.4110
Y 14.4139 10.4057 7.3579
Y 16.2185 9.3638 4.4110
Y 9.6093 7.6840 3.1678
Y 11.4591 4.4799 3.1678
Y 12.6093 7.2800 7.3579
Y 9.6093 5.5479 6.1886
Ir 9.6093 5.5479 1.3614
Ir 11.7008 6.7555 4.7768
Ir 7.5178 6.7555 4.7768
Ir 9.6093 3.1329 4.7768
Mg 4.8046 4.5403 1.3370
Mg 6.3343 1.8908 1.3370
Mg 3.2750 1.8908 1.3370
Mg 4.8046 2.7740 3.8350
CELL_PARAMETERS angstrom
9.6093 0.0000 0.0000
4.8046 8.3219 0.0000
4.8046 2.7740 7.8460
```

Its total energy is -2.3343 Ry/atom.

# 2
A plane-wave DFT calculation with SCAN was carried out for YMg2Ir at its PBEsol-relaxed geometry. Values from VASP.

Geometry as Quantum ESPRESSO input:
```
&SYSTEM
  ibrav = 0, nat = 4, ntyp = 3
/
ATOMIC_SPECIES
Mg 24.30 Mg.upf
Ir 192.22 Ir.upf
Y 88.91 Y.upf
ATOMIC_POSITIONS angstrom
Mg 1.4122 -1.0997 -0.9236
Mg -1.4042 -1.3288 -0.5649
Ir 0.3611 -1.2479 2.0379
Y 0.3691 -3.6764 0.5494
CELL_PARAMETERS angstrom
-2.8085 -2.6576 -1.1298
2.8244 -2.1994 -1.8473
0.7222 -2.4958 4.0758
```

Its total energy is -2.0303 Ry/atom.

| no. | E_form (eV/atom) |
| --- | --- |
| 1 | -0.52 |
| 2 | -0.40 |